The following is a PBE calculation of a relaxed structure of Zr3Al3Si2, from Alexandria via LeMat-Bulk.

```
Zr3Al3Si2
1.0
6.609 0.000 0.000
-3.304 5.723 0.000
0.000 0.000 3.793
Zr Al Si
3 3 2
Direct
0.000 0.383 0.500
0.383 0.000 0.500
0.617 0.617 0.500
0.755 0.000 0.000
0.245 0.245 0.000
0.000 0.755 0.000
0.333 0.667 0.000
0.667 0.333 0.000
```

Values from the calculation:
The calculation puts the density of states at the Fermi level at 3.7 states/eV per cell. As for the uncorrected formation energy: -5.1 eV per formula unit. The volume is 143.5 Å³ per cell. The value obtained for the total magnetization is 0.0 μB/cell. As for the crystal system: hexagonal.

The following is a PBE calculation of a relaxed structure of ZrAl3Si, from Alexandria via LeMat-Bulk.

```
ZrAl3Si
1.0
-3.469 2.768 2.689
-3.803 -1.842 -3.011
-0.651 -3.984 3.260
Al Si Zr
3 1 1
Direct
0.000 0.500 0.000
0.000 0.000 0.500
0.500 0.000 0.000
0.500 0.500 0.500
0.000 0.000 0.000
```

Values from the calculation:
The calculation puts the density of states at the Fermi level at 4.2 states/eV per cell. As for the uncorrected formation energy: 6.1 eV per formula unit. The volume is 139.7 Å³ per cell. The value obtained for the total magnetization is 0.0 μB/cell. As for the crystal system: cubic.

The following is a PBE calculation of a relaxed structure of ZrAl2Si, from Alexandria via LeMat-Bulk.

```
ZrAl2Si
1.0
5.305 -0.010 -0.003
3.912 3.583 -0.003
1.402 0.544 3.548
Al Zr Si
2 1 1
Direct
0.500 0.500 0.500
0.000 0.000 0.000
0.250 0.250 0.250
0.750 0.750 0.750
```

Values from the calculation:
The calculation puts the density of states at the Fermi level at 2.3 states/eV per cell. As for the uncorrected formation energy: -1.9 eV per formula unit. The volume is 67.6 Å³ per cell. The value obtained for the total magnetization is 0.0 μB/cell. As for the crystal system: tetragonal.

The following is a PBE calculation of a relaxed structure of ZrAl2Si, from Alexandria via LeMat-Bulk.

```
ZrAl2Si
1.0
3.455 0.000 0.000
0.000 3.455 0.000
0.000 0.000 5.817
Al Si Zr
2 1 1
Direct
0.000 0.000 0.026
0.500 0.500 0.257
0.000 0.000 0.478
0.500 0.500 0.739
```

Values from the calculation:
The calculation puts the density of states at the Fermi level at 3.1 states/eV per cell. As for the uncorrected formation energy: -1.1 eV per formula unit. The volume is 69.5 Å³ per cell. The value obtained for the total magnetization is 0.0 μB/cell. As for the crystal system: tetragonal.

The following is a PBE calculation of a relaxed structure of ZrAl2Si, from Alexandria via LeMat-Bulk.

```
ZrAl2Si
1.0
8.956 -0.027 -0.016
8.428 3.029 -0.016
8.428 1.455 2.656
Si Al Zr
1 2 1
Direct
0.250 0.250 0.250
0.509 0.509 0.509
0.991 0.991 0.991
0.750 0.750 0.750
```

Values from the calculation:
The calculation puts the density of states at the Fermi level at 2.4 states/eV per cell. As for the uncorrected formation energy: -0.2 eV per formula unit. The volume is 73.1 Å³ per cell. The value obtained for the total magnetization is 0.0 μB/cell. As for the crystal system: trigonal.

The following is a PBE calculation of a relaxed structure of Zr2AlSi4, from Alexandria via LeMat-Bulk.

```
Zr2AlSi4
1.0
3.807 0.000 0.000
-1.904 3.296 0.035
0.000 8.572 20.972
Si Zr Al
8 4 2
Direct
0.702 0.404 0.974
0.301 0.602 0.524
0.298 0.596 0.026
0.218 0.436 0.337
0.755 0.510 0.184
0.245 0.490 0.816
0.782 0.564 0.663
0.699 0.398 0.476
0.009 0.017 0.743
0.483 0.965 0.888
0.517 0.035 0.112
0.991 0.983 0.257
0.519 0.038 0.610
0.481 0.962 0.390
```

Values from the calculation:
The calculation puts the density of states at the Fermi level at 4.2 states/eV per cell. As for the uncorrected formation energy: -2.2 eV per formula unit. The volume is 262.0 Å³ per cell. The value obtained for the total magnetization is 0.0 μB/cell. As for the crystal system: monoclinic.

The following is a PBE calculation of a relaxed structure of Zr2Al2Si, from Alexandria via LeMat-Bulk.

```
Zr2Al2Si
1.0
-0.894 -6.547 0.922
6.606 -0.921 -0.135
0.161 0.554 4.090
Zr Al Si
4 4 2
Direct
0.674 0.826 0.500
0.826 0.326 0.500
0.326 0.174 0.500
0.174 0.674 0.500
0.368 0.868 0.000
0.132 0.368 0.000
0.868 0.632 0.000
0.632 0.132 0.000
0.000 0.000 0.000
0.500 0.500 0.000
```

Values from the calculation:
The calculation puts the density of states at the Fermi level at 7.6 states/eV per cell. As for the uncorrected formation energy: -1.7 eV per formula unit. The volume is 183.9 Å³ per cell. The value obtained for the total magnetization is 0.0 μB/cell. As for the crystal system: tetragonal.

The following is a PBE calculation of a relaxed structure of ZrAl2Si, from Alexandria via LeMat-Bulk.

```
ZrAl2Si
1.0
5.236 -0.047 -0.017
4.270 3.032 -0.017
1.926 0.605 4.394
Zr Al Si
1 2 1
Direct
0.230 0.230 0.340
0.770 0.770 0.791
0.005 0.005 0.965
0.494 0.494 0.404
```

Values from the calculation:
The calculation puts the density of states at the Fermi level at 1.6 states/eV per cell. As for the uncorrected formation energy: -1.2 eV per formula unit. The volume is 70.7 Å³ per cell. The value obtained for the total magnetization is 0.0 μB/cell. As for the crystal system: monoclinic.

uncorrected formation energy of number 3 (ZrAl2Si)? -1.9 eV per formula unit

Copy entry 4 word for word.
The following is a PBE calculation of a relaxed structure of ZrAl2Si, from Alexandria via LeMat-Bulk.

```
ZrAl2Si
1.0
3.455 0.000 0.000
0.000 3.455 0.000
0.000 0.000 5.817
Al Si Zr
2 1 1
Direct
0.000 0.000 0.026
0.500 0.500 0.257
0.000 0.000 0.478
0.500 0.500 0.739
```

Values from the calculation:
The calculation puts the density of states at the Fermi level at 3.1 states/eV per cell. As for the uncorrected formation energy: -1.1 eV per formula unit. The volume is 69.5 Å³ per cell. The value obtained for the total magnetization is 0.0 μB/cell. As for the crystal system: tetragonal.